No. 1
BiTe2PdN | PBE | optimized geometry

Values from the calculation:
symmetry = P4/mmm, No. 123
V = 120 Å³ per cell
density of states at the Fermi level = 2.885 states/eV/f.u.
energy relative to the elements, uncorrected = 520 meV/atom
M_tot = 0.00 μB per formula unit

Cell: 5.6302 5.6302 3.7922 Å, 90.00 90.00 90.00°
Last column: nearest neighbours and their distance in Å.
Sites, in units of the cell vectors:
1 Bi 0.0000 0.0000 0.0000  8 Te 3.39, 2 Bi 3.79
2 Te 0.0000 0.5000 0.5000  2 Pd 2.82
3 Te 0.5000 0.0000 0.5000  2 Pd 2.82
4 Pd 0.5000 0.5000 0.5000  2 N 1.90
5 N 0.5000 0.5000 0.0000  2 Pd 1.90

=====

No. 2
Sm5Dy3Y | PBE | optimized geometry

Values from the calculation:
symmetry = C2/m, No. 12
energy of formation = 0.496 eV per atom
V = 674 Å³ per cell
density of states at the Fermi level = 13.640 states/eV/f.u.
M_tot = 0.00 μB per formula unit

Cell: 9.5788 9.5788 9.8893 Å, 120.49 120.49 74.69°
Last column: nearest neighbours and their distance in Å.
Sites, in units of the cell vectors:
1 Sm 0.1011 0.6059 0.2575  2 Sm 3.36-3.43, 2 Dy 3.49-3.55
2 Sm 0.2274 0.2274 0.2338  3 Dy 3.21-3.40, 3 Sm 3.28-3.43, 1 Y 3.35
3 Sm 0.2457 0.7543 0.0000  1 Dy 2.96
4 Sm 0.2755 0.2755 0.9546  3 Dy 3.15-3.39, 3 Sm 3.28-3.36, 1 Y 3.33
5 Sm 0.3941 0.8989 0.7425  2 Sm 3.36-3.43, 2 Dy 3.49-3.55
6 Sm 0.6059 0.1011 0.2575  2 Sm 3.36-3.43, 2 Dy 3.49-3.55
7 Sm 0.7245 0.7245 0.0454  3 Dy 3.15-3.39, 3 Sm 3.28-3.36, 1 Y 3.33
8 Sm 0.7543 0.2457 0.0000  1 Dy 2.96
9 Sm 0.7726 0.7726 0.7662  3 Dy 3.21-3.40, 3 Sm 3.28-3.43, 1 Y 3.35
10 Sm 0.8989 0.3941 0.7425  2 Sm 3.36-3.43, 2 Dy 3.49-3.55
11 Dy 0.0000 0.0000 0.5000  2 Dy 3.12, 2 Y 3.28, 4 Sm 3.49
12 Dy 0.0083 0.0083 0.8233  1 Dy 3.12, 5 Sm 3.21-3.39, 1 Y 3.42
13 Dy 0.4847 0.4847 0.6460  2 Dy 3.21-3.36, 4 Sm 3.24-3.55, 1 Y 3.28
14 Dy 0.5000 0.5000 0.0000  4 Sm 2.96-3.15
15 Dy 0.5153 0.5153 0.3540  2 Dy 3.21-3.36, 4 Sm 3.24-3.55, 1 Y 3.28
16 Dy 0.9917 0.9917 0.1767  1 Dy 3.12, 5 Sm 3.21-3.39, 1 Y 3.42
17 Y 0.2486 0.2486 0.5927  4 Dy 3.28-3.42, 2 Sm 3.33-3.35
18 Y 0.7514 0.7514 0.4073  4 Dy 3.28-3.42, 2 Sm 3.33-3.35